No. 1
SrZr2Cl: single point on PBEsol structure, SCAN.

abc: 10.375 10.375 10.375
angles: 18.13 18.13 18.13
Sites, in units of the cell vectors:
Sr  0.000  0.000  0.000
Zr  0.234  0.234  0.234
Zr  0.766  0.766  0.766
Cl  0.500  0.500  0.500

Values from the calculation:
Formation energy from raw total energies, eV/atom: -0.06
Size of the total moment, Bohr magnetons per cell: 0.80
SG: No. 166
Energy, Ry/atom: -1.689
ρ, g cm⁻³: 5.370

No. 2
Ta2Cl: single point on PBEsol structure, SCAN.

abc: 7.111 7.111 5.410
angles: 111.29 111.29 23.93
Sites, in units of the cell vectors:
Ta  0.000  0.000  0.000
Ta  0.212  0.212  0.978
Ta  0.552  0.552  0.562
Ta  0.875  0.875  0.411
Cl  0.341  0.341  0.768
Cl  0.659  0.659  0.283

Values from the calculation:
Formation energy from raw total energies, eV/atom: 0.25
Size of the total moment, Bohr magnetons per cell: 0.00
SG: No. 8
Energy, Ry/atom: -3.440
ρ, g cm⁻³: 12.806

No. 3
TaCl4: single point on PBEsol structure, SCAN.

abc: 6.961 6.961 8.376
angles: 125.15 125.15 57.62
Sites, in units of the cell vectors:
Ta  0.220  0.780  0.000
Ta  0.780  0.220  0.000
Cl  0.207  0.207  0.177
Cl  0.223  0.732  0.706
Cl  0.268  0.777  0.294
Cl  0.320  0.320  0.846
Cl  0.680  0.680  0.154
Cl  0.732  0.223  0.706
Cl  0.777  0.268  0.294
Cl  0.793  0.793  0.823

Values from the calculation:
Formation energy from raw total energies, eV/atom: -1.43
Size of the total moment, Bohr magnetons per cell: 0.00
SG: No. 12
Energy, Ry/atom: -1.553
ρ, g cm⁻³: 4.149

No. 4
Ta2Cl: single point on PBEsol structure, SCAN.

abc: 4.858 5.881 3.560
angles: 90.00 90.00 90.00
Sites, in units of the cell vectors:
Ta  0.225  0.148  0.000
Ta  0.275  0.648  0.500
Ta  0.725  0.352  0.500
Ta  0.775  0.852  0.000
Cl  0.000  0.500  0.000
Cl  0.500  0.000  0.500

Values from the calculation:
Formation energy from raw total energies, eV/atom: 0.87
Size of the total moment, Bohr magnetons per cell: 0.00
SG: No. 58
Energy, Ry/atom: -3.394
ρ, g cm⁻³: 12.977

No. 5
TaCl4: single point on PBEsol structure, SCAN.

abc: 9.823 9.823 9.823
angles: 160.57 160.57 27.61
Sites, in units of the cell vectors:
Ta  0.000  0.000  0.000
Cl  0.250  0.750  0.500
Cl  0.425  0.425  0.000
Cl  0.575  0.575  0.000
Cl  0.750  0.250  0.500

Values from the calculation:
Formation energy from raw total energies, eV/atom: 0.14
Size of the total moment, Bohr magnetons per cell: 0.00
SG: No. 139
Energy, Ry/atom: -1.437
ρ, g cm⁻³: 5.112

No. 6
TaTc2Cl: single point on PBEsol structure, SCAN.

abc: 8.274 8.274 8.274
angles: 20.85 20.85 20.85
Sites, in units of the cell vectors:
Ta  0.000  0.000  0.000
Tc  0.251  0.251  0.251
Tc  0.749  0.749  0.749
Cl  0.500  0.500  0.500

Values from the calculation:
Formation energy from raw total energies, eV/atom: 0.21
Size of the total moment, Bohr magnetons per cell: 0.00
SG: No. 166
Energy, Ry/atom: -2.643
ρ, g cm⁻³: 10.898